{"formula": "Sr2ZrHg", "functional": "PBE", "state": "optimized geometry", "e_form_kj_per_mol_atoms": 10.2, "lattice_angstrom": [[-1.8726, 2.9090, 6.1426], [1.8726, -2.9090, 6.1426], [1.8726, 2.9090, -6.1426]], "species": ["Sr", "Sr", "Zr", "Hg"], "fractional_positions": [[0.0000, 0.0000, 0.0000], [0.7074, 0.2074, 0.5000], [0.2872, 0.7872, 0.5000], [0.4702, 0.4702, 0.0000]]}



{"formula": "Pr4MgRh2", "functional": "PBE", "state": "optimized geometry", "e_form_kj_per_mol_atoms": -32.9, "lattice_angstrom": [[2.4588, 1.4196, 9.6310], [-2.4588, 1.4196, 9.6310], [0.0000, -2.8392, 9.6310]], "species": ["Pr", "Pr", "Pr", "Pr", "Mg", "Rh", "Rh"], "fractional_positions": [[0.1110, 0.1110, 0.1110], [0.2960, 0.2960, 0.2960], [0.7040, 0.7040, 0.7040], [0.8890, 0.8890, 0.8890], [0.5000, 0.5000, 0.5000], [0.4045, 0.4045, 0.4045], [0.5955, 0.5955, 0.5955]]}



{"formula": "HoMn2AlC", "functional": "PBE", "state": "optimized geometry", "e_form_kj_per_mol_atoms": -21.4, "lattice_angstrom": [[1.8957, -5.3758, 0.0000], [1.8957, 5.3758, 0.0000], [0.0000, 0.0000, 7.1255]], "species": ["Ho", "Ho", "Mn", "Mn", "Mn", "Mn", "Al", "Al", "C", "C"], "fractional_positions": [[0.0393, 0.9607, 0.7500], [0.9607, 0.0393, 0.2500], [0.3355, 0.6645, 0.5659], [0.3355, 0.6645, 0.9341], [0.6645, 0.3355, 0.0659], [0.6645, 0.3355, 0.4341], [0.2401, 0.7599, 0.2500], [0.7599, 0.2401, 0.7500], [0.5000, 0.5000, 0.0000], [0.5000, 0.5000, 0.5000]]}



{"formula": "LuMgScZn", "functional": "PBE", "state": "optimized geometry", "e_form_kj_per_mol_atoms": -15.5, "lattice_angstrom": [[0.0000, 3.5314, 3.5314], [3.5314, 0.0000, 3.5314], [3.5314, 3.5314, 0.0000]], "species": ["Lu", "Mg", "Sc", "Zn"], "fractional_positions": [[0.0000, 0.0000, 0.0000], [0.7500, 0.7500, 0.7500], [0.5000, 0.5000, 0.5000], [0.2500, 0.2500, 0.2500]]}



{"formula": "TaAlAg3", "functional": "PBE", "state": "optimized geometry", "e_form_kj_per_mol_atoms": 102.7, "polymorph_energy_mev_per_atom": 0.0, "lattice_angstrom": [[4.6481, 0.0000, 0.0000], [0.0000, 4.6481, 0.0000], [0.0000, 0.0000, 4.6481]], "species": ["Ta", "Al", "Ag", "Ag", "Ag"], "fractional_positions": [[0.0000, 0.0000, 0.0000], [0.5000, 0.5000, 0.5000], [0.0000, 0.5000, 0.5000], [0.5000, 0.0000, 0.5000], [0.5000, 0.5000, 0.0000]]}



{"formula": "CrBrN3", "functional": "PBE", "state": "optimized geometry", "formation_energy_uncorrected_ev_per_atom": 2.477, "lattice_angstrom": [[3.8591, 0.0000, 0.0000], [0.0000, 3.8591, 0.0000], [0.0000, 0.0000, 3.8591]], "species": ["Cr", "Br", "N", "N", "N"], "fractional_positions": [[0.0000, 0.0000, 0.0000], [0.5000, 0.5000, 0.5000], [0.0000, 0.5000, 0.5000], [0.5000, 0.0000, 0.5000], [0.5000, 0.5000, 0.0000]]}



{"formula": "HoScTe2", "functional": "PBE", "state": "optimized geometry", "formation_energy_uncorrected_ev_per_atom": -1.172, "polymorph_energy_mev_per_atom": 36.7, "lattice_angstrom": [[2.1271, 1.2281, 6.9426], [-2.1271, 1.2281, 6.9426], [0.0000, -2.4562, 6.9426]], "species": ["Ho", "Sc", "Te", "Te"], "fractional_positions": [[0.0000, 0.0000, 0.0000], [0.5000, 0.5000, 0.5000], [0.2457, 0.2457, 0.2457], [0.7543, 0.7543, 0.7543]]}



{"formula": "Sr2AgPd", "functional": "PBE", "state": "optimized geometry", "e_form_kj_per_mol_atoms": -46.1, "lattice_angstrom": [[6.2673, 0.0000, 0.0000], [0.0000, 4.6801, 0.0000], [-3.0168, 0.0000, 8.1333]], "species": ["Sr", "Sr", "Sr", "Sr", "Ag", "Ag", "Pd", "Pd"], "fractional_positions": [[0.2170, 0.2500, 0.4357], [0.2281, 0.2500, 0.9255], [0.7719, 0.7500, 0.0745], [0.7830, 0.7500, 0.5643], [0.3525, 0.7500, 0.2151], [0.6475, 0.2500, 0.7849], [0.3597, 0.7500, 0.7141], [0.6403, 0.2500, 0.2859]]}



{"formula": "LiEr2Hg2", "functional": "PBE", "state": "optimized geometry", "e_form_kj_per_mol_atoms": -24.6, "lattice_angstrom": [[-3.6975, 6.0408, 2.8492], [3.6975, -6.0408, 2.8492], [3.6975, 6.0408, -2.8492]], "species": ["Li", "Li", "Er", "Er", "Er", "Er", "Hg", "Hg", "Hg", "Hg"], "fractional_positions": [[0.2500, 0.2500, 0.0000], [0.7500, 0.7500, 0.0000], [0.1783, 0.6698, 0.8481], [0.3217, 0.1698, 0.4915], [0.6783, 0.8302, 0.5085], [0.8217, 0.3302, 0.1519], [0.0801, 0.2889, 0.3690], [0.4199, 0.7889, 0.2087], [0.5801, 0.2111, 0.7913], [0.9199, 0.7111, 0.6310]]}



{"formula": "V4Mo3Ir", "functional": "PBE", "state": "optimized geometry", "e_form_kj_per_mol_atoms": -26.9, "lattice_angstrom": [[4.3293, 0.0000, 0.0000], [0.0000, 4.3293, 0.0000], [0.0000, 0.0000, 6.1217]], "species": ["V", "V", "V", "V", "Mo", "Mo", "Mo", "Ir"], "fractional_positions": [[0.0000, 0.5000, 0.2477], [0.0000, 0.5000, 0.7523], [0.5000, 0.0000, 0.2477], [0.5000, 0.0000, 0.7523], [0.0000, 0.0000, 0.0000], [0.0000, 0.0000, 0.5000], [0.5000, 0.5000, 0.0000], [0.5000, 0.5000, 0.5000]]}



{"formula": "LiAl2Rh", "functional": "PBE", "state": "optimized geometry", "e_form_kj_per_mol_atoms": -45.3, "lattice_angstrom": [[3.2104, 0.0000, 0.0000], [0.0000, 3.2104, 0.0000], [0.0000, 0.0000, 5.5093]], "species": ["Li", "Al", "Al", "Rh"], "fractional_positions": [[0.0000, 0.0000, 0.0000], [0.0000, 0.0000, 0.4626], [0.5000, 0.5000, 0.7594], [0.5000, 0.5000, 0.2516]]}



{"formula": "CrPtN3", "functional": "PBE", "state": "optimized geometry", "formation_energy_uncorrected_ev_per_atom": 1.197, "lattice_angstrom": [[3.7174, 0.0000, 0.0000], [0.0000, 3.7174, 0.0000], [0.0000, 0.0000, 3.7174]], "species": ["Cr", "Pt", "N", "N", "N"], "fractional_positions": [[0.0000, 0.0000, 0.0000], [0.5000, 0.5000, 0.5000], [0.0000, 0.0000, 0.5000], [0.0000, 0.5000, 0.0000], [0.5000, 0.0000, 0.0000]]}



{"formula": "PrHo2TmAs4", "functional": "PBE", "state": "optimized geometry", "e_form_kj_per_mol_atoms": -144.7, "lattice_angstrom": [[7.1778, 0.0000, 0.0000], [0.0000, 4.1484, 0.0000], [-2.3937, 0.0000, 6.7693]], "species": ["Pr", "Ho", "Ho", "Tm", "As", "As", "As", "As"], "fractional_positions": [[0.0000, 0.0000, 0.0000], [0.0000, 0.5000, 0.5000], [0.5000, 0.0000, 0.5000], [0.5000, 0.5000, 0.0000], [0.2558, 0.0000, 0.7473], [0.2594, 0.5000, 0.2577], [0.7406, 0.5000, 0.7423], [0.7442, 0.0000, 0.2527]]}



{"formula": "Pm2Pr2DyEr", "functional": "PBE", "state": "optimized geometry", "e_form_kj_per_mol_atoms": 5.7, "lattice_angstrom": [[7.0993, 0.0000, 0.0000], [0.0000, 5.7261, 0.0000], [0.0000, 0.0000, 9.9212]], "species": ["Pm", "Pm", "Pm", "Pm", "Pr", "Pr", "Pr", "Pr", "Dy", "Dy", "Er", "Er"], "fractional_positions": [[0.2500, 0.0000, 0.1639], [0.2500, 0.5000, 0.6677], [0.7500, 0.0000, 0.8361], [0.7500, 0.5000, 0.3323], [0.0000, 0.5000, 0.0000], [0.2500, 0.0000, 0.8224], [0.5000, 0.5000, 0.0000], [0.7500, 0.0000, 0.1776], [0.2500, 0.5000, 0.3415], [0.7500, 0.5000, 0.6585], [0.0000, 0.0000, 0.5000], [0.5000, 0.0000, 0.5000]]}



{"formula": "Th2PaRuN5", "functional": "PBE", "state": "optimized geometry", "formation_energy_uncorrected_ev_per_atom": -0.936, "lattice_angstrom": [[-3.2942, 3.2942, 5.9013], [3.2942, -3.2942, 5.9013], [3.2942, 3.2942, -5.9013]], "species": ["Th", "Th", "Th", "Th", "Pa", "Pa", "Ru", "Ru", "N", "N", "N", "N", "N", "N", "N", "N", "N", "N"], "fractional_positions": [[0.1704, 0.6704, 0.8407], [0.3296, 0.1704, 0.5000], [0.6704, 0.8296, 0.5000], [0.8296, 0.3296, 0.1593], [0.2500, 0.2500, 0.0000], [0.7500, 0.7500, 0.0000], [0.2500, 0.7500, 0.5000], [0.7500, 0.2500, 0.5000], [0.0000, 0.0000, 0.0000], [0.0167, 0.1986, 0.5000], [0.1986, 0.6986, 0.1819], [0.3014, 0.4833, 0.5000], [0.4833, 0.9833, 0.1819], [0.5000, 0.5000, 0.0000], [0.5167, 0.0167, 0.8181], [0.6986, 0.5167, 0.5000], [0.8014, 0.3014, 0.8181], [0.9833, 0.8014, 0.5000]]}



{"formula": "La2Tb3Nd6Sc", "functional": "PBE", "state": "optimized geometry", "e_form_kj_per_mol_atoms": 2.7, "lattice_angstrom": [[3.1437, -5.4464, 0.0000], [3.1437, 5.4464, 0.0000], [-2.1166, 0.0000, 11.8208]], "species": ["La", "La", "Tb", "Tb", "Tb", "Nd", "Nd", "Nd", "Nd", "Nd", "Nd", "Sc"], "fractional_positions": [[0.1668, 0.8332, 0.0000], [0.8332, 0.1668, 0.0000], [0.0000, 0.0000, 0.5000], [0.3337, 0.6663, 0.5000], [0.6663, 0.3337, 0.5000], [0.0884, 0.4170, 0.7484], [0.2537, 0.2537, 0.2523], [0.4170, 0.0884, 0.7484], [0.5830, 0.9116, 0.2516], [0.7463, 0.7463, 0.7477], [0.9116, 0.5830, 0.2516], [0.5000, 0.5000, 0.0000]]}



{"formula": "In2BAu2", "functional": "PBE", "state": "optimized geometry", "e_form_kj_per_mol_atoms": 87.4, "polymorph_energy_mev_per_atom": 625.3, "lattice_angstrom": [[-2.2236, 2.2236, 6.0159], [2.2236, -2.2236, 6.0159], [2.2236, 2.2236, -6.0159]], "species": ["In", "In", "B", "Au", "Au"], "fractional_positions": [[0.2500, 0.7500, 0.5000], [0.7500, 0.2500, 0.5000], [0.0000, 0.0000, 0.0000], [0.3898, 0.3898, 0.0000], [0.6102, 0.6102, 0.0000]]}



{"formula": "AlZn2Hg", "functional": "PBE", "state": "optimized geometry", "e_form_kj_per_mol_atoms": 17.8, "polymorph_energy_mev_per_atom": 76.2, "lattice_angstrom": [[-1.7496, 2.4890, 4.2839], [1.7496, -2.4890, 4.2839], [1.7496, 2.4890, -4.2839]], "species": ["Al", "Zn", "Zn", "Hg"], "fractional_positions": [[0.0000, 0.0000, 0.0000], [0.2406, 0.7406, 0.5000], [0.7594, 0.2594, 0.5000], [0.5000, 0.5000, 0.0000]]}



{"formula": "Pm3MgPt8", "functional": "PBE", "state": "optimized geometry", "e_form_kj_per_mol_atoms": -96.9, "lattice_angstrom": [[2.7295, 1.5758, 8.9112], [-2.7295, 1.5758, 8.9112], [0.0000, -3.1517, 8.9112]], "species": ["Pm", "Pm", "Pm", "Mg", "Pt", "Pt", "Pt", "Pt", "Pt", "Pt", "Pt", "Pt"], "fractional_positions": [[0.0000, 0.0000, 0.0000], [0.1279, 0.1279, 0.1279], [0.6163, 0.6163, 0.6163], [0.4925, 0.4925, 0.4925], [0.0596, 0.0596, 0.5624], [0.0596, 0.5624, 0.0596], [0.0617, 0.5606, 0.5606], [0.3108, 0.3108, 0.3108], [0.5606, 0.0617, 0.5606], [0.5606, 0.5606, 0.0617], [0.5624, 0.0596, 0.0596], [0.8111, 0.8111, 0.8111]]}



{"formula": "SrLaGa", "functional": "PBE", "state": "optimized geometry", "e_form_kj_per_mol_atoms": -26.5, "polymorph_energy_mev_per_atom": 94.6, "lattice_angstrom": [[7.1656, -1.9149, 0.0000], [7.1656, 1.9149, 0.0000], [-2.1547, 0.0000, 7.5336]], "species": ["Sr", "Sr", "La", "La", "Ga", "Ga"], "fractional_positions": [[0.1390, 0.1390, 0.3143], [0.8610, 0.8610, 0.6857], [0.1230, 0.1230, 0.8140], [0.8770, 0.8770, 0.1860], [0.5000, 0.5000, 0.0000], [0.5000, 0.5000, 0.5000]]}



{"formula": "LaTbHg5", "functional": "PBE", "state": "optimized geometry", "e_form_kj_per_mol_atoms": -29.4, "lattice_angstrom": [[4.6736, 0.0000, 0.0000], [0.0000, 4.6736, 0.0000], [0.0000, 0.0000, 8.9372]], "species": ["La", "Tb", "Hg", "Hg", "Hg", "Hg", "Hg"], "fractional_positions": [[0.0000, 0.0000, 0.0000], [0.5000, 0.5000, 0.5000], [0.0000, 0.0000, 0.5000], [0.0000, 0.5000, 0.2510], [0.0000, 0.5000, 0.7490], [0.5000, 0.0000, 0.2510], [0.5000, 0.0000, 0.7490]]}



{"formula": "TiSiBi3", "functional": "PBE", "state": "optimized geometry", "formation_energy_uncorrected_ev_per_atom": 0.940, "polymorph_energy_mev_per_atom": 307.4, "lattice_angstrom": [[5.3432, 0.0000, 0.0000], [0.0000, 5.3432, 0.0000], [0.0000, 0.0000, 5.3432]], "species": ["Ti", "Si", "Bi", "Bi", "Bi"], "fractional_positions": [[0.0000, 0.0000, 0.0000], [0.5000, 0.5000, 0.5000], [0.0000, 0.5000, 0.5000], [0.5000, 0.0000, 0.5000], [0.5000, 0.5000, 0.0000]]}



{"formula": "Tc2PRu", "functional": "PBE", "state": "optimized geometry", "e_form_kj_per_mol_atoms": 9.8, "lattice_angstrom": [[2.4303, -4.0567, 0.0000], [2.4303, 4.0567, 0.0000], [0.0000, 0.0000, 2.8348]], "species": ["Tc", "Tc", "P", "Ru"], "fractional_positions": [[0.0000, 0.5000, 0.0000], [0.5000, 0.0000, 0.0000], [0.0000, 0.0000, 0.5000], [0.5000, 0.5000, 0.5000]]}



{"formula": "ErLuMg", "functional": "PBE", "state": "optimized geometry", "e_form_kj_per_mol_atoms": 5.4, "polymorph_energy_mev_per_atom": 81.3, "lattice_angstrom": [[5.3769, 0.0000, 0.0000], [-2.6885, 4.6566, 0.0000], [0.0000, 0.0000, 3.3239]], "species": ["Er", "Lu", "Mg"], "fractional_positions": [[0.0000, 0.0000, 0.0000], [0.3333, 0.6667, 0.5759], [0.6667, 0.3333, 0.2995]]}



{"formula": "DyTm4Te5", "functional": "PBE", "state": "optimized geometry", "formation_energy_uncorrected_ev_per_atom": -1.194, "polymorph_energy_mev_per_atom": 0.0, "lattice_angstrom": [[-2.1303, 2.1303, 15.6558], [2.1303, -2.1303, 15.6558], [2.1303, 2.1303, -15.6558]], "species": ["Dy", "Tm", "Tm", "Tm", "Tm", "Te", "Te", "Te", "Te", "Te"], "fractional_positions": [[0.0000, 0.0000, 0.0000], [0.2111, 0.2111, 0.0000], [0.4071, 0.4071, 0.0000], [0.5929, 0.5929, 0.0000], [0.7889, 0.7889, 0.0000], [0.1040, 0.1040, 0.0000], [0.3077, 0.3077, 0.0000], [0.5000, 0.5000, 0.0000], [0.6923, 0.6923, 0.0000], [0.8960, 0.8960, 0.0000]]}